1.
An optimized crystal structure of Al4ZnPd. Source: the Alexandria database, functional PBE.

abc: 5.655 5.655 7.474
angles: 102.86 102.86 114.08
Fractional positions:
Al (0.985, 0.219, 0.944)
Al (0.461, 0.726, 0.944)
Al (0.274, 0.539, 0.556)
Al (0.726, 0.461, 0.444)
Al (0.219, 0.985, 0.444)
Al (0.539, 0.274, 0.056)
Al (0.781, 0.015, 0.556)
Al (0.015, 0.781, 0.056)
Zn (0.375, 0.625, 0.250)
Zn (0.625, 0.375, 0.750)
Pd (0.125, 0.875, 0.750)
Pd (0.875, 0.125, 0.250)

Results
- calculated volume (Å³/f.u.) = 99.55
- excess energy over the best structure of this formula in the dataset (eV/atom) = 0.000
- calculated total energy (eV/atom) = -3.834
- ΔE_f (eV/atom) = -0.261

2.
An optimized crystal structure of LiNi2Cl. Source: the Alexandria database, functional PBE.

abc: 3.374 3.374 4.778
angles: 90.00 90.00 90.00
Each line ends with the local moment (μB).
Fractional positions:
Cl (0.500, 0.000, 0.500)  0.08
Li (0.000, 0.500, 0.500)  0.00
Ni (0.000, 0.000, 0.000)  0.89
Ni (0.500, 0.500, 0.000)  0.89

Results
- calculated volume (Å³/f.u.) = 54.38
- excess energy over the best structure of this formula in the dataset (eV/atom) = 0.245
- calculated total energy (eV/atom) = -3.791
- formation energy from raw total energies (eV/atom) = 0.039

3.
An optimized crystal structure of La8CeDy2. Source: the Alexandria database, functional PBE.

abc: 5.801 8.188 9.572
angles: 115.32 107.64 90.00
Fractional positions:
La (0.632, 0.841, 0.263)
La (0.368, 0.577, 0.737)
La (0.161, 0.161, 0.322)
La (0.000, 0.282, 0.000)
La (0.839, 0.839, 0.678)
La (0.632, 0.423, 0.263)
La (0.368, 0.159, 0.737)
La (0.000, 0.718, 0.000)
Ce (0.500, 0.000, 0.000)
Dy (0.201, 0.701, 0.402)
Dy (0.799, 0.299, 0.598)

Results
- calculated volume (Å³/f.u.) = 387.22
- calculated total energy (eV/atom) = -4.858
- ΔE_f (eV/atom) = 0.101

4.
An optimized crystal structure of CoOs2Pt2. Source: the Alexandria database, functional PBE.

abc: 7.645 7.645 2.724
angles: 90.00 90.00 90.00
Each line ends with the local moment (μB).
Fractional positions:
Co (0.000, 0.000, 0.000)  1.97
Co (0.500, 0.500, 0.000)  1.97
Os (0.120, 0.620, 0.500)  0.06
Os (0.620, 0.880, 0.500)  0.07
Os (0.880, 0.380, 0.500)  0.06
Os (0.380, 0.120, 0.500)  0.07
Pt (0.323, 0.823, 0.000)  0.00
Pt (0.823, 0.677, 0.000)  0.00
Pt (0.677, 0.177, 0.000)  0.00
Pt (0.177, 0.323, 0.000)  0.00

Results
- calculated volume (Å³/f.u.) = 79.61
- excess energy over the best structure of this formula in the dataset (eV/atom) = 0.000
- calculated total energy (eV/atom) = -7.712
- ΔE_f (eV/atom) = 0.618

5.
An optimized crystal structure of NbTcRuPt. Source: the Alexandria database, functional PBE.

abc: 3.938 3.944 3.946
angles: 90.00 90.00 90.00
Fractional positions:
Nb (0.000, 0.500, 0.500)
Tc (0.500, 0.500, 0.000)
Ru (0.500, 0.000, 0.500)
Pt (0.000, 0.000, 0.000)

Results
- calculated volume (Å³/f.u.) = 61.28
- calculated total energy (eV/atom) = -9.291
- ΔE_f (eV/atom) = -0.353

6.
An optimized crystal structure of HoTcN4. Source: the Alexandria database, functional PBE.

abc: 5.204 5.204 6.927
angles: 112.06 112.06 90.00
Each line ends with the local moment (μB).
Fractional positions:
Ho (0.000, 0.000, 0.000)  0.03
Ho (0.750, 0.250, 0.500)  0.03
Tc (0.500, 0.500, 0.000)  -0.18
Tc (0.250, 0.750, 0.500)  -0.18
N (0.024, 0.920, 0.329)  0.39
N (0.158, 0.274, 0.829)  0.39
N (0.670, 0.555, 0.829)  0.39
N (0.305, 0.408, 0.329)  0.39
N (0.445, 0.842, 0.171)  0.39
N (0.080, 0.695, 0.671)  0.39
N (0.592, 0.976, 0.671)  0.39
N (0.726, 0.330, 0.171)  0.39

Results
- calculated volume (Å³/f.u.) = 79.47
- calculated total energy (eV/atom) = -8.003
- formation energy from raw total energies (eV/atom) = 0.037

7.
An optimized crystal structure of Ag2SnSeS2. Source: the Alexandria database, functional PBE.

abc: 6.934 7.283 7.220
angles: 120.29 90.00 90.00
Fractional positions:
Ag (0.822, 0.825, 0.349)
Ag (0.822, 0.476, 0.651)
Ag (0.322, 0.524, 0.349)
Ag (0.322, 0.175, 0.651)
Sn (0.284, 0.825, 0.000)
Sn (0.784, 0.175, 0.000)
Se (0.669, 0.830, 0.000)
Se (0.169, 0.170, 0.000)
S (0.188, 0.839, 0.327)
S (0.188, 0.511, 0.673)
S (0.688, 0.161, 0.673)
S (0.688, 0.489, 0.327)

Results
- calculated volume (Å³/f.u.) = 157.43
- calculated total energy (eV/atom) = -3.807
- formation energy from raw total energies (eV/atom) = -0.233

8.
An optimized crystal structure of Er3Ga4. Source: the Alexandria database, functional PBE.

abc: 4.078 5.767 13.925
angles: 90.00 90.00 110.77
Fractional positions:
Er (0.702, 0.404, 0.101)
Er (0.300, 0.600, 0.900)
Er (0.702, 0.404, 0.400)
Er (0.300, 0.600, 0.601)
Er (0.999, 0.997, 0.250)
Er (0.004, 0.007, 0.750)
Ga (0.272, 0.543, 0.250)
Ga (0.730, 0.462, 0.750)
Ga (0.415, 0.832, 0.101)
Ga (0.002, 0.003, 0.000)
Ga (0.415, 0.831, 0.399)
Ga (0.587, 0.173, 0.899)
Ga (0.001, 0.002, 0.500)
Ga (0.587, 0.173, 0.602)

Results
- calculated volume (Å³/f.u.) = 153.10
- excess energy over the best structure of this formula in the dataset (eV/atom) = 0.031
- calculated total energy (eV/atom) = -4.270
- ΔE_f (eV/atom) = -0.585

9.
An optimized crystal structure of CoAsW2. Source: the Alexandria database, functional PBE.

abc: 2.796 2.796 7.853
angles: 90.00 90.00 106.01
Fractional positions:
As (0.000, 0.000, 0.524)
Co (0.500, 0.500, 0.743)
W (0.000, 0.000, 0.979)
W (0.500, 0.500, 0.254)

Results
- calculated volume (Å³/f.u.) = 59.03
- calculated total energy (eV/atom) = -9.145
- ΔE_f (eV/atom) = 0.271

10.
An optimized crystal structure of Mn2CuOs. Source: the Alexandria database, functional PBE.

abc: 4.920 4.920 4.920
angles: 146.15 129.15 62.49
Each line ends with the local moment (μB).
Fractional positions:
Cu (0.244, 0.744, 0.500)  0.08
Mn (0.993, 0.993, 0.000)  2.46
Mn (0.752, 0.252, 0.500)  1.94
Os (0.511, 0.511, 0.000)  -0.23

Results
- calculated volume (Å³/f.u.) = 50.92
- calculated total energy (eV/atom) = -8.152
- ΔE_f (eV/atom) = 0.264

11.
An optimized crystal structure of Hg2TeBr. Source: the Alexandria database, functional PBE.

abc: 4.411 4.411 7.811
angles: 73.60 73.60 60.00
Fractional positions:
Hg (0.075, 0.075, 0.774)
Hg (0.263, 0.263, 0.212)
Te (0.670, 0.670, 0.990)
Br (0.492, 0.492, 0.524)

Results
- calculated volume (Å³/f.u.) = 124.45
- excess energy over the best structure of this formula in the dataset (eV/atom) = 0.157
- calculated total energy (eV/atom) = -1.453
- formation energy from raw total energies (eV/atom) = -0.099

12.
An optimized crystal structure of YCd2AgHg. Source: the Alexandria database, functional PBE.

abc: 5.235 5.206 5.235
angles: 90.00 90.00 90.00
Fractional positions:
Y (0.500, 0.500, 0.500)
Hg (0.000, 0.000, 0.000)
Ag (0.000, 0.500, 0.000)
Cd (0.000, 0.000, 0.500)
Cd (0.500, 0.000, 0.000)

Results
- calculated volume (Å³/f.u.) = 142.67
- calculated total energy (eV/atom) = -1.958
- ΔE_f (eV/atom) = 0.331